Record 1
VASP calculation (PBE) on a geometry-optimized Dy8Er3Th3 structure.

Summary:
Total moment (μB per formula unit): 0.00
Density (g/cm³): 9.28

Lattice parameters (Å, degrees): 9.578 9.578 9.578 145.72 112.70 77.74
Sites, in units of the cell vectors:
Dy 0.058 0.397 0.661
Dy 0.064 0.223 0.841
Dy 0.263 0.603 0.661
Dy 0.382 0.223 0.159
Dy 0.618 0.777 0.841
Dy 0.737 0.397 0.339
Dy 0.936 0.777 0.159
Dy 0.942 0.603 0.339
Er 0.000 0.000 0.000
Er 0.307 0.000 0.307
Er 0.693 0.000 0.693
Th 0.315 0.815 0.500
Th 0.500 0.500 0.000
Th 0.685 0.185 0.500

***

Record 2
VASP calculation (PBE) on a geometry-optimized DyEr3Th4 structure.

Summary:
Total moment (μB per formula unit): 0.00
Density (g/cm³): 10.00

Lattice parameters (Å, degrees): 3.420 9.405 16.439 90.00 90.00 90.00
Sites, in units of the cell vectors:
Dy 0.000 0.000 0.000
Dy 0.500 0.500 0.500
Er 0.000 0.000 0.500
Er 0.000 0.500 0.316
Er 0.000 0.500 0.684
Er 0.500 0.000 0.184
Er 0.500 0.000 0.816
Er 0.500 0.500 0.000
Th 0.000 0.307 0.149
Th 0.000 0.307 0.851
Th 0.000 0.693 0.149
Th 0.000 0.693 0.851
Th 0.500 0.193 0.351
Th 0.500 0.193 0.649
Th 0.500 0.807 0.351
Th 0.500 0.807 0.649

***

Record 3
VASP calculation (PBE) on a geometry-optimized Dy12ErTh2 structure.

Summary:
Total moment (μB per formula unit): 0.00
Density (g/cm³): 8.92

Lattice parameters (Å, degrees): 6.576 6.576 24.609 92.22 92.22 115.15
Sites, in units of the cell vectors:
Dy 0.047 0.554 0.201
Dy 0.067 0.598 0.330
Dy 0.130 0.652 0.555
Dy 0.166 0.166 0.563
Dy 0.215 0.215 0.866
Dy 0.232 0.731 0.927
Dy 0.269 0.768 0.073
Dy 0.284 0.284 0.135
Dy 0.347 0.347 0.407
Dy 0.348 0.870 0.445
Dy 0.402 0.933 0.670
Dy 0.446 0.953 0.799
Dy 0.554 0.047 0.201
Dy 0.598 0.067 0.330
Dy 0.652 0.130 0.555
Dy 0.653 0.653 0.593
Dy 0.716 0.716 0.865
Dy 0.731 0.232 0.927
Dy 0.768 0.269 0.073
Dy 0.785 0.785 0.134
Dy 0.834 0.834 0.437
Dy 0.870 0.348 0.445
Dy 0.933 0.402 0.670
Dy 0.953 0.446 0.799
Er 0.250 0.250 0.000
Er 0.750 0.750 0.000
Th 0.079 0.079 0.268
Th 0.445 0.445 0.733
Th 0.555 0.555 0.267
Th 0.921 0.921 0.732

***

Record 4
VASP calculation (PBE) on a geometry-optimized Dy4ErTh2 structure.

Summary:
Polymorph energy (0 for the lowest one) (meV per atom): 0
Total moment (μB per formula unit): 0.00
Density (g/cm³): 9.61

Lattice parameters (Å, degrees): 3.564 7.895 8.720 68.45 89.93 76.97
Sites, in units of the cell vectors:
Dy 0.076 0.348 0.219
Dy 0.355 0.790 0.071
Dy 0.645 0.210 0.929
Dy 0.924 0.652 0.781
Er 0.500 0.500 0.500
Th 0.213 0.073 0.640
Th 0.787 0.927 0.360

***

Record 5
VASP calculation (PBE) on a geometry-optimized DyErTh2 structure.

Summary:
Polymorph energy (0 for the lowest one) (meV per atom): 105
Total moment (μB per formula unit): 0.00
Density (g/cm³): 10.41

Lattice parameters (Å, degrees): 7.972 7.972 7.972 90.00 90.00 90.00
Sites, in units of the cell vectors:
Dy 0.000 0.000 0.000
Dy 0.000 0.500 0.500
Dy 0.500 0.000 0.500
Dy 0.500 0.500 0.000
Er 0.000 0.000 0.500
Er 0.000 0.500 0.000
Er 0.500 0.000 0.000
Er 0.500 0.500 0.500
Th 0.250 0.250 0.250
Th 0.250 0.250 0.750
Th 0.250 0.750 0.250
Th 0.250 0.750 0.750
Th 0.750 0.250 0.250
Th 0.750 0.250 0.750
Th 0.750 0.750 0.250
Th 0.750 0.750 0.750

***

Record 6
VASP calculation (PBE) on a geometry-optimized DyEr2Th structure.

Summary:
Polymorph energy (0 for the lowest one) (meV per atom): 32
Total moment (μB per formula unit): 0.00
Density (g/cm³): 9.65

Lattice parameters (Å, degrees): 3.538 3.538 10.023 90.00 90.00 90.00
Sites, in units of the cell vectors:
Dy 0.000 0.000 0.000
Er 0.500 0.500 0.254
Er 0.500 0.500 0.746
Th 0.000 0.000 0.500

***

Record 7
VASP calculation (PBE) on a geometry-optimized Dy5ErTh3 structure.

Summary:
Polymorph energy (0 for the lowest one) (meV per atom): 326
Total moment (μB per formula unit): 0.00
Density (g/cm³): 8.85

Lattice parameters (Å, degrees): 7.500 7.500 12.268 95.38 95.38 66.44
Sites, in units of the cell vectors:
Dy 0.056 0.056 0.623
Dy 0.171 0.560 0.227
Dy 0.172 0.828 0.000
Dy 0.244 0.244 0.977
Dy 0.440 0.829 0.773
Dy 0.560 0.171 0.227
Dy 0.756 0.756 0.023
Dy 0.828 0.172 0.000
Dy 0.829 0.440 0.773
Dy 0.944 0.944 0.377
Er 0.362 0.362 0.734
Er 0.638 0.638 0.266
Th 0.123 0.123 0.217
Th 0.239 0.239 0.458
Th 0.500 0.500 0.000
Th 0.500 0.500 0.500
Th 0.761 0.761 0.542
Th 0.877 0.877 0.783

***

Record 8
VASP calculation (PBE) on a geometry-optimized Dy3Er7Th2 structure.

Summary:
Total moment (μB per formula unit): 0.00
Density (g/cm³): 8.90

Lattice parameters (Å, degrees): 16.343 16.343 4.573 90.00 90.00 161.08
Sites, in units of the cell vectors:
Dy 0.000 0.000 0.000
Dy 0.152 0.848 0.000
Dy 0.848 0.152 0.000
Er 0.079 0.921 0.500
Er 0.229 0.771 0.500
Er 0.421 0.579 0.000
Er 0.500 0.500 0.500
Er 0.579 0.421 0.000
Er 0.771 0.229 0.500
Er 0.921 0.079 0.500
Th 0.341 0.659 0.500
Th 0.659 0.341 0.500

***

Energy of formation / eV/atom: 0.16; 0.32; 0.12; 0.03; 0.14; 0.02; 0.56; 0.30